Material: InCoMo2
Method: DFT, GGA-PBE
State: optimized geometry

Computed properties:
Energy of formation: 0.223 eV/atom
Theoretical density: 9.61 g/cm3
Uncorrected energy: -7.653 eV/atom
Density of states at the Fermi level: 3.0 states/eV/f.u.

Structure (POSCAR):
```
InCoMo2
1.0
3.177 0.000 0.000
0.000 3.177 0.000
0.000 0.000 6.263
Co In Mo
1 1 2
Direct
0.000 0.000 0.483
0.500 0.500 0.731
0.000 0.000 0.030
0.500 0.500 0.256
```

Material: Zr4NpPa3N8
Method: DFT, GGA-PBE
State: optimized geometry

Computed properties:
Theoretical density: 10.74 g/cm3
Uncorrected energy: -10.502 eV/atom
Density of states at the Fermi level: 11.0 states/eV/f.u.

Structure (POSCAR):
```
Zr4NpPa3N8
1.0
6.701 0.000 0.000
0.000 6.801 0.068
-3.351 -3.348 4.740
Zr Np Pa N
4 1 3 8
Direct
0.500 0.000 0.000
0.500 0.000 0.500
0.000 0.000 0.000
0.000 0.000 0.500
0.000 0.500 0.000
0.500 0.500 0.000
0.500 0.500 0.500
0.000 0.500 0.500
0.256 0.766 0.010
0.256 0.766 0.513
0.244 0.232 0.488
0.754 0.766 0.010
0.246 0.234 0.990
0.756 0.768 0.512
0.744 0.234 0.487
0.744 0.234 0.990
```

Material: Ca6Tl2Zn
Method: DFT, GGA-PBE
State: optimized geometry

Computed properties:
Energy of formation: -0.254 eV/atom
Theoretical density: 4.23 g/cm3
Distance to the lowest polymorph of the same formula: 0.23 eV/f.u.
Uncorrected energy: -2.255 eV/atom
Density of states at the Fermi level: 6.1 states/eV/f.u.

Structure (POSCAR):
```
Ca6Tl2Zn
1.0
5.577 0.000 0.000
-2.789 4.825 0.006
0.000 -0.016 10.434
Ca Tl Zn
6 2 1
Direct
0.667 0.333 0.940
0.333 0.667 0.060
0.000 0.000 0.210
0.333 0.667 0.416
0.000 0.000 0.790
0.667 0.333 0.584
0.334 0.667 0.742
0.666 0.333 0.258
0.000 0.000 0.500
```

Material: LiCoSe
Method: DFT, GGA-PBE
State: optimized geometry

Computed properties:
Theoretical density: 5.40 g/cm3
Distance to the lowest polymorph of the same formula: 0.95 eV/f.u.
Uncorrected energy: -4.386 eV/atom
Density of states at the Fermi level: 1.0 states/eV/f.u.

Structure (POSCAR):
```
LiCoSe
1.0
4.951 -0.002 0.003
3.932 3.008 0.001
1.019 0.347 2.991
Co Li Se
1 1 1
Direct
0.962 0.962 0.038
0.668 0.668 0.332
0.370 0.370 0.630
```

Material: Sm2Y3ThBi6
Method: DFT, GGA-PBE
State: optimized geometry

Computed properties:
Energy of formation: -0.862 eV/atom
Theoretical density: 8.66 g/cm3
Uncorrected energy: -5.823 eV/atom
Density of states at the Fermi level: 3.7 states/eV/f.u.

Structure (POSCAR):
```
Sm2Y3ThBi6
1.0
-2.965 7.224 0.777
-4.387 -6.251 1.805
4.927 -0.056 6.087
Sm Y Th Bi
2 3 1 6
Direct
0.333 0.667 0.000
0.667 0.333 0.000
0.166 0.834 0.500
0.834 0.166 0.500
0.500 0.500 0.500
0.000 0.000 0.000
0.915 0.580 0.744
0.751 0.751 0.255
0.085 0.420 0.256
0.580 0.915 0.744
0.249 0.249 0.745
0.420 0.085 0.256
```

Material: InB2H8
Method: DFT, GGA-PBE
State: optimized geometry

Computed properties:
Theoretical density: 2.08 g/cm3
Uncorrected energy: -3.850 eV/atom
Density of states at the Fermi level: 1.2 states/eV/f.u.

Structure (POSCAR):
```
InB2H8
1.0
2.014 -4.430 4.322
1.813 -5.326 -1.404
7.772 0.915 2.216
In B H
2 4 16
Direct
0.935 0.750 0.250
0.065 0.250 0.750
0.874 0.826 0.933
0.367 0.326 0.433
0.633 0.674 0.567
0.126 0.174 0.067
0.381 0.811 0.640
0.174 0.953 0.135
0.692 0.902 0.087
0.291 0.183 0.416
0.308 0.098 0.913
0.890 0.317 0.084
0.709 0.817 0.584
0.319 0.402 0.587
0.110 0.683 0.916
0.832 0.689 0.860
0.738 0.453 0.635
0.262 0.547 0.365
0.168 0.311 0.140
0.681 0.598 0.413
0.619 0.189 0.360
0.826 0.047 0.865
```

What is the formula in the fourth record?
LiCoSe